! CrRu3 PBE relaxed; values from VASP
! - volume (A^3/atom) = 13.4
! - electronic total energy (eV/atom) = -9.352
! - formation enthalpy at 0 K (eV/atom) = 0.01
! - space group = Pmmn, No. 59
&SYSTEM
  ibrav = 0, nat = 8, ntyp = 2
/
ATOMIC_SPECIES
Ru 101.07 Ru.upf
Cr 52.00 Cr.upf
ATOMIC_POSITIONS angstrom
Ru 4.0548 2.1232 3.8834
Ru 1.3391 2.1232 3.8834
Ru 1.3578 0.0000 0.7980
Ru 4.0361 0.0000 0.7980
Ru 2.6970 0.0000 3.0871
Ru 0.0000 2.1232 1.5943
Cr 2.6970 2.1232 1.5769
Cr 0.0000 0.0000 3.1045
CELL_PARAMETERS angstrom
5.3939 0.0000 0.0000
0.0000 4.2464 0.0000
0.0000 0.0000 4.6814